# MnP4O12 (GGA+U, optimized geometry)
# Energy above the most stable polymorph in this dataset ... 13.8 meV/atom
# ρ ... 2.86 Mg/m³
# V ... 12.7 A^3/atom
data_MnP4O12
_space_group_name_H-M_alt 'P 1'
_space_group_IT_number 1
_cell_length_a 8.837
_cell_length_b 7.116
_cell_length_c 8.400
_cell_angle_alpha 54.72
_cell_angle_beta 90.00
_cell_angle_gamma 90.00
loop_
_space_group_symop_operation_xyz
'x,y,z'
loop_
_atom_site_label
_atom_site_type_symbol
_atom_site_fract_x
_atom_site_fract_y
_atom_site_fract_z
Mn1 Mn 0.000 0.000 0.000
Mn2 Mn 0.500 0.000 0.500
P1 P 0.569 0.456 0.759
P2 P 0.243 0.788 0.350
P3 P 0.069 0.544 0.741
P4 P 0.743 0.212 0.150
P5 P 0.257 0.788 0.850
P6 P 0.931 0.456 0.259
P7 P 0.757 0.212 0.650
P8 P 0.431 0.544 0.241
O1 O 0.714 0.426 0.655
O2 O 0.429 0.361 0.739
O3 O 0.078 0.297 0.797
O4 O 0.120 0.693 0.513
O5 O 0.620 0.307 0.987
O6 O 0.578 0.703 0.703
O7 O 0.171 0.975 0.157
O8 O 0.929 0.639 0.761
O9 O 0.884 0.128 0.108
O10 O 0.214 0.574 0.845
O11 O 0.384 0.872 0.392
O12 O 0.671 0.025 0.343
O13 O 0.329 0.975 0.657
O14 O 0.616 0.128 0.608
O15 O 0.786 0.426 0.155
O16 O 0.116 0.872 0.892
O17 O 0.071 0.361 0.239
O18 O 0.829 0.025 0.843
O19 O 0.422 0.297 0.297
O20 O 0.380 0.693 0.013
O21 O 0.880 0.307 0.487
O22 O 0.922 0.703 0.203
O23 O 0.571 0.639 0.261
O24 O 0.286 0.574 0.345